[1]
Entry from Alexandria via LeMat-Bulk: crystalline Ac2Si4Os5 at its relaxed geometry (PBE).

The structure in CIF format:
```
data_Ac2Si4Os5
_chemical_formula_sum 'Ac2 Si4 Os5'
_cell_length_a 8.3259
_cell_length_b 7.0988
_cell_length_c 6.0767
_cell_angle_alpha 77.96
_cell_angle_beta 56.50
_cell_angle_gamma 45.54
_space_group_name_H-M_alt 'P 1'
_space_group_IT_number 1
_space_group_name_Hall 'P 1'
loop_
_atom_site_label
_atom_site_type_symbol
_atom_site_fract_x
_atom_site_fract_y
_atom_site_fract_z
_atom_site_occupancy
Ac1 Ac 0.1328 0.1328 0.8672 1
Ac2 Ac 0.8672 0.8672 0.1328 1
Si1 Si 0.2130 0.5260 0.4740 1
Si2 Si 0.4740 0.7870 0.2130 1
Si3 Si 0.5260 0.2130 0.7870 1
Si4 Si 0.7870 0.4740 0.5260 1
Os1 Os 0.0000 0.0000 0.5000 1
Os2 Os 0.2500 0.2500 0.2500 1
Os3 Os 0.5000 0.5000 0.0000 1
Os4 Os 0.5000 0.5000 0.5000 1
Os5 Os 0.7500 0.7500 0.7500 1
```

raw formation energy	-5.4	eV per formula unit
raw total energy	-8.32	eV/atom

***

[2]
Entry from Alexandria via LeMat-Bulk: crystalline AcSi4Os at its relaxed geometry (PBE).

The structure in CIF format:
```
data_AcSi4Os
_chemical_formula_sum 'Ac2 Si8 Os2'
_cell_length_a 6.2533
_cell_length_b 6.3193
_cell_length_c 6.3194
_cell_angle_alpha 87.88
_cell_angle_beta 78.47
_cell_angle_gamma 78.54
_space_group_name_H-M_alt 'P 1'
_space_group_IT_number 1
_space_group_name_Hall 'P 1'
loop_
_atom_site_label
_atom_site_type_symbol
_atom_site_fract_x
_atom_site_fract_y
_atom_site_fract_z
_atom_site_occupancy
Ac1 Ac 0.0105 0.2346 0.2353 1
Ac2 Ac 0.9895 0.7654 0.7647 1
Si1 Si 0.1875 0.6897 0.2453 1
Si2 Si 0.1887 0.2464 0.6901 1
Si3 Si 0.4814 0.3708 0.3708 1
Si4 Si 0.4994 0.8684 0.1320 1
Si5 Si 0.5006 0.1316 0.8680 1
Si6 Si 0.5186 0.6292 0.6292 1
Si7 Si 0.8113 0.7536 0.3099 1
Si8 Si 0.8125 0.3103 0.7547 1
Os1 Os 0.5000 0.0000 0.5000 1
Os2 Os 0.5000 0.5000 0.0000 1
```

raw formation energy	-1.6	eV per formula unit
raw total energy	-6.43	eV/atom

***

[3]
Entry from Alexandria via LeMat-Bulk: crystalline AcSiOs2 at its relaxed geometry (PBE).

The structure in CIF format:
```
data_AcSiOs2
_chemical_formula_sum 'Ac2 Si2 Os4'
_cell_length_a 4.1533
_cell_length_b 4.1533
_cell_length_c 9.5459
_cell_angle_alpha 90.00
_cell_angle_beta 90.00
_cell_angle_gamma 90.00
_space_group_name_H-M_alt 'P 1'
_space_group_IT_number 1
_space_group_name_Hall 'P 1'
loop_
_atom_site_label
_atom_site_type_symbol
_atom_site_fract_x
_atom_site_fract_y
_atom_site_fract_z
_atom_site_occupancy
Ac1 Ac 0.2500 0.2500 0.2052 1
Ac2 Ac 0.7500 0.7500 0.7948 1
Si1 Si 0.2500 0.2500 0.6324 1
Si2 Si 0.7500 0.7500 0.3676 1
Os1 Os 0.2500 0.2500 0.8823 1
Os2 Os 0.2500 0.7500 0.5000 1
Os3 Os 0.7500 0.2500 0.5000 1
Os4 Os 0.7500 0.7500 0.1177 1
```

raw formation energy	0.4	eV per formula unit
raw total energy	-7.89	eV/atom

***

[4]
Entry from Alexandria via LeMat-Bulk: crystalline Ac8Si2Os at its relaxed geometry (PBE).

The structure in CIF format:
```
data_Ac8Si2Os
_chemical_formula_sum 'Ac8 Si2 Os1'
_cell_length_a 11.7734
_cell_length_b 11.7734
_cell_length_c 8.2433
_cell_angle_alpha 94.54
_cell_angle_beta 94.54
_cell_angle_gamma 21.73
_space_group_name_H-M_alt 'P 1'
_space_group_IT_number 1
_space_group_name_Hall 'P 1'
loop_
_atom_site_label
_atom_site_type_symbol
_atom_site_fract_x
_atom_site_fract_y
_atom_site_fract_z
_atom_site_occupancy
Ac1 Ac 0.0081 0.0081 0.2322 1
Ac2 Ac 0.2347 0.2347 0.6973 1
Ac3 Ac 0.3713 0.3713 0.9640 1
Ac4 Ac 0.3971 0.3971 0.4633 1
Ac5 Ac 0.6029 0.6029 0.5367 1
Ac6 Ac 0.6287 0.6287 0.0360 1
Ac7 Ac 0.7653 0.7653 0.3027 1
Ac8 Ac 0.9919 0.9919 0.7678 1
Si1 Si 0.1647 0.1647 0.3377 1
Si2 Si 0.8353 0.8353 0.6623 1
Os1 Os 0.5000 0.5000 0.0000 1
```

raw formation energy	-2.1	eV per formula unit
raw total energy	-5.19	eV/atom

***

[5]
Entry from Alexandria via LeMat-Bulk: crystalline AcTaSi2Os at its relaxed geometry (PBE).

The structure in CIF format:
```
data_AcTaSi2Os
_chemical_formula_sum 'Ac2 Ta2 Si4 Os2'
_cell_length_a 4.1640
_cell_length_b 4.1640
_cell_length_c 11.3977
_cell_angle_alpha 90.00
_cell_angle_beta 90.00
_cell_angle_gamma 90.00
_space_group_name_H-M_alt 'P 1'
_space_group_IT_number 1
_space_group_name_Hall 'P 1'
loop_
_atom_site_label
_atom_site_type_symbol
_atom_site_fract_x
_atom_site_fract_y
_atom_site_fract_z
_atom_site_occupancy
Ac1 Ac 0.0000 0.0000 0.0000 1
Ac2 Ac 0.5000 0.5000 0.5000 1
Ta1 Ta 0.0000 0.5000 0.7500 1
Ta2 Ta 0.5000 0.0000 0.2500 1
Si1 Si 0.0000 0.0000 0.3804 1
Si2 Si 0.0000 0.0000 0.6196 1
Si3 Si 0.5000 0.5000 0.1196 1
Si4 Si 0.5000 0.5000 0.8804 1
Os1 Os 0.0000 0.5000 0.2500 1
Os2 Os 0.5000 0.0000 0.7500 1
```

raw formation energy	-2.4	eV per formula unit
raw total energy	-8.09	eV/atom

***

[6]
Entry from Alexandria via LeMat-Bulk: crystalline AcSi2TcOs at its relaxed geometry (PBE).

The structure in CIF format:
```
data_AcSi2TcOs
_chemical_formula_sum 'Ac2 Si4 Tc2 Os2'
_cell_length_a 4.3256
_cell_length_b 4.3256
_cell_length_c 10.2762
_cell_angle_alpha 90.00
_cell_angle_beta 90.00
_cell_angle_gamma 90.00
_space_group_name_H-M_alt 'P 1'
_space_group_IT_number 1
_space_group_name_Hall 'P 1'
loop_
_atom_site_label
_atom_site_type_symbol
_atom_site_fract_x
_atom_site_fract_y
_atom_site_fract_z
_atom_site_occupancy
Ac1 Ac 0.0000 0.0000 0.0000 1
Ac2 Ac 0.5000 0.5000 0.5000 1
Si1 Si 0.0000 0.0000 0.3563 1
Si2 Si 0.0000 0.0000 0.6437 1
Si3 Si 0.5000 0.5000 0.1437 1
Si4 Si 0.5000 0.5000 0.8563 1
Tc1 Tc 0.0000 0.5000 0.2500 1
Tc2 Tc 0.5000 0.0000 0.7500 1
Os1 Os 0.0000 0.5000 0.7500 1
Os2 Os 0.5000 0.0000 0.2500 1
```

raw formation energy	-3.0	eV per formula unit
raw total energy	-7.90	eV/atom

***

[7]
Entry from Alexandria via LeMat-Bulk: crystalline AcTiSi2Os at its relaxed geometry (PBE).

The structure in CIF format:
```
data_AcTiSi2Os
_chemical_formula_sum 'Ac2 Ti2 Si4 Os2'
_cell_length_a 4.1781
_cell_length_b 4.1781
_cell_length_c 11.1695
_cell_angle_alpha 90.00
_cell_angle_beta 90.00
_cell_angle_gamma 90.00
_space_group_name_H-M_alt 'P 1'
_space_group_IT_number 1
_space_group_name_Hall 'P 1'
loop_
_atom_site_label
_atom_site_type_symbol
_atom_site_fract_x
_atom_site_fract_y
_atom_site_fract_z
_atom_site_occupancy
Ac1 Ac 0.0000 0.0000 0.0000 1
Ac2 Ac 0.5000 0.5000 0.5000 1
Ti1 Ti 0.0000 0.5000 0.7500 1
Ti2 Ti 0.5000 0.0000 0.2500 1
Si1 Si 0.0000 0.0000 0.3762 1
Si2 Si 0.0000 0.0000 0.6238 1
Si3 Si 0.5000 0.5000 0.1238 1
Si4 Si 0.5000 0.5000 0.8762 1
Os1 Os 0.0000 0.5000 0.2500 1
Os2 Os 0.5000 0.0000 0.7500 1
```

raw formation energy	-3.2	eV per formula unit
raw total energy	-7.46	eV/atom

***

[8]
Entry from Alexandria via LeMat-Bulk: crystalline AcSm2Os at its relaxed geometry (PBE).

The structure in CIF format:
```
data_AcSm2Os
_chemical_formula_sum 'Ac1 Sm2 Os1'
_cell_length_a 3.5486
_cell_length_b 3.5486
_cell_length_c 9.7352
_cell_angle_alpha 90.00
_cell_angle_beta 90.00
_cell_angle_gamma 90.00
_space_group_name_H-M_alt 'P 1'
_space_group_IT_number 1
_space_group_name_Hall 'P 1'
loop_
_atom_site_label
_atom_site_type_symbol
_atom_site_fract_x
_atom_site_fract_y
_atom_site_fract_z
_atom_site_occupancy
Ac1 Ac 0.0000 0.0000 0.0000 1
Sm1 Sm 0.5000 0.5000 0.3286 1
Sm2 Sm 0.5000 0.5000 0.6714 1
Os1 Os 0.0000 0.0000 0.5000 1
```

relative energy among the computed polymorphs	116	meV/atom
raw total energy	-6.18	eV/atom
ΔH_f (0 K)	0.01	eV per atom

***

[9]
Entry from Alexandria via LeMat-Bulk: crystalline AcSm2Os at its relaxed geometry (PBE).

The structure in CIF format:
```
data_AcSm2Os
_chemical_formula_sum 'Ac3 Sm6 Os3'
_cell_length_a 3.9591
_cell_length_b 3.9591
_cell_length_c 32.6099
_cell_angle_alpha 90.00
_cell_angle_beta 90.00
_cell_angle_gamma 120.00
_space_group_name_H-M_alt 'P 1'
_space_group_IT_number 1
_space_group_name_Hall 'P 1'
loop_
_atom_site_label
_atom_site_type_symbol
_atom_site_fract_x
_atom_site_fract_y
_atom_site_fract_z
_atom_site_occupancy
Ac1 Ac 0.0000 0.0000 0.0000 1
Ac2 Ac 0.3333 0.6667 0.6667 1
Ac3 Ac 0.6667 0.3333 0.3333 1
Sm1 Sm 0.0000 0.0000 0.1178 1
Sm2 Sm 0.0000 0.0000 0.8822 1
Sm3 Sm 0.3333 0.6667 0.5488 1
Sm4 Sm 0.3333 0.6667 0.7845 1
Sm5 Sm 0.6667 0.3333 0.2155 1
Sm6 Sm 0.6667 0.3333 0.4512 1
Os1 Os 0.0000 0.0000 0.5000 1
Os2 Os 0.3333 0.6667 0.1667 1
Os3 Os 0.6667 0.3333 0.8333 1
```

relative energy among the computed polymorphs	360	meV/atom
raw total energy	-5.94	eV/atom
ΔH_f (0 K)	0.26	eV per atom

***

[10]
Entry from Alexandria via LeMat-Bulk: crystalline Ac3SmOs at its relaxed geometry (PBE).

The structure in CIF format:
```
data_Ac3SmOs
_chemical_formula_sum 'Ac3 Sm1 Os1'
_cell_length_a 5.8693
_cell_length_b 5.8693
_cell_length_c 5.8693
_cell_angle_alpha 90.00
_cell_angle_beta 90.00
_cell_angle_gamma 90.00
_space_group_name_H-M_alt 'P 1'
_space_group_IT_number 1
_space_group_name_Hall 'P 1'
loop_
_atom_site_label
_atom_site_type_symbol
_atom_site_fract_x
_atom_site_fract_y
_atom_site_fract_z
_atom_site_occupancy
Ac1 Ac 0.0000 0.0000 0.5000 1
Ac2 Ac 0.0000 0.5000 0.0000 1
Ac3 Ac 0.5000 0.0000 0.0000 1
Sm1 Sm 0.5000 0.5000 0.5000 1
Os1 Os 0.0000 0.0000 0.0000 1
```

relative energy among the computed polymorphs	13	meV/atom
raw total energy	-5.53	eV/atom
ΔH_f (0 K)	0.12	eV per atom

***

[11]
Entry from Alexandria via LeMat-Bulk: crystalline AcSm2Os at its relaxed geometry (PBE).

The structure in CIF format:
```
data_AcSm2Os
_chemical_formula_sum 'Ac4 Sm8 Os4'
_cell_length_a 4.1075
_cell_length_b 12.7567
_cell_length_c 9.3798
_cell_angle_alpha 90.00
_cell_angle_beta 90.00
_cell_angle_gamma 90.00
_space_group_name_H-M_alt 'P 1'
_space_group_IT_number 1
_space_group_name_Hall 'P 1'
loop_
_atom_site_label
_atom_site_type_symbol
_atom_site_fract_x
_atom_site_fract_y
_atom_site_fract_z
_atom_site_occupancy
Ac1 Ac 0.0000 0.0738 0.2500 1
Ac2 Ac 0.0000 0.9262 0.7500 1
Ac3 Ac 0.5000 0.4262 0.7500 1
Ac4 Ac 0.5000 0.5738 0.2500 1
Sm1 Sm 0.0000 0.3492 0.0706 1
Sm2 Sm 0.0000 0.3492 0.4294 1
Sm3 Sm 0.0000 0.6508 0.5706 1
Sm4 Sm 0.0000 0.6508 0.9294 1
Sm5 Sm 0.5000 0.1508 0.5706 1
Sm6 Sm 0.5000 0.1508 0.9294 1
Sm7 Sm 0.5000 0.8492 0.0706 1
Sm8 Sm 0.5000 0.8492 0.4294 1
Os1 Os 0.0000 0.2514 0.7500 1
Os2 Os 0.0000 0.7486 0.2500 1
Os3 Os 0.5000 0.2486 0.2500 1
Os4 Os 0.5000 0.7514 0.7500 1
```

relative energy among the computed polymorphs	10	meV/atom
raw total energy	-6.29	eV/atom
ΔH_f (0 K)	-0.09	eV per atom